VASP calculation (PBE with a Hubbard U) on a geometry-optimized SbWS2F structure.

Geometry as extended XYZ:
```
5
Lattice="-4.487 0.699 -2.518 -1.753 -2.568 2.410 -1.215 3.871 3.240" Properties=species:S:1:pos:R:3 pbc="T T T"
Sb -3.727 1.001 1.566
S -2.243 0.350 -1.259
S -0.608 1.935 1.620
F 0.000 0.000 0.000
W -0.876 -1.284 1.205
```

## Properties
Density, g cm⁻³: 6.09
DFT total energy, eV per cell: -19.6